(1)
Density functional theory data (PBE) for TiNi7Ge2P2 after structural relaxation.

Formation energy from the elements, eV/atom: -0.3204

a = 3.4759 Å, b = 3.4759 Å, c = 27.9505 Å
α = 90.00°, β = 90.00°, γ = 90.00°
With the nearest neighbours (Å) after each atom.
Space group I4/mmm (No. 139)
Asymmetric unit:
Ti: 0.0000 0.0000 0.0000 [2 per cell]  12 Ni 2.46-2.58
Ni: 0.0000 0.0000 0.3049 [4 per cell]  1 P 2.17
Ni: 0.0000 0.0000 0.5000 [2 per cell]  4 Ti 2.46, 8 Ni 2.58
Ni: 0.0000 0.5000 0.0681 [8 per cell]  2 P 2.22, 4 Ni 2.46
Ge: 0.0000 0.0000 0.2156 [4 per cell]  5 Ni 2.50-2.52
P: 0.0000 0.0000 0.3825 [4 per cell]  5 Ni 2.17-2.22

=====

(2)
Density functional theory data (PBE) for Tm2Ni4GeP3 after structural relaxation.

Formation energy from the elements, eV/atom: -0.9081

a = 3.8852 Å, b = 3.8852 Å, c = 9.5625 Å
α = 90.00°, β = 90.00°, γ = 90.00°
With the nearest neighbours (Å) after each atom.
Space group P-4m2 (No. 115)
Asymmetric unit:
Tm: 0.0000 0.5000 0.2399 [2 per cell]  6 P 2.94-3.16, 8 Ni 2.99-3.01, 2 Ge 3.16
Ni: 0.0000 0.0000 0.0000 [1 per cell]  4 P 2.31
Ni: 0.0000 0.5000 0.6363 [2 per cell]  3 P 2.22-2.34, 2 Ge 2.34
Ni: 0.5000 0.5000 0.0000 [1 per cell]  4 P 2.31
Ge: 0.0000 0.0000 0.5000 [1 per cell]  4 Ni 2.34
P: 0.0000 0.5000 0.8688 [2 per cell]  5 Ni 2.22-2.31
P: 0.5000 0.5000 0.5000 [1 per cell]  4 Ni 2.34

=====

(3)
Density functional theory data (PBE) for Tm3Ni9GeP2 after structural relaxation.

Formation energy from the elements, eV/atom: -0.4475

a = 5.7835 Å, b = 5.7835 Å, c = 8.1443 Å
α = 90.00°, β = 90.00°, γ = 120.00°
With the nearest neighbours (Å) after each atom.
Space group P-3m1 (No. 164)
Asymmetric unit:
Tm: 0.0000 0.0000 0.0000 [1 per cell]  12 Ni 2.72-2.89
Tm: 0.3333 0.6667 0.6578 [2 per cell]  9 Ni 2.94-3.25
Ni: 0.0000 0.5000 0.0000 [3 per cell]  2 P 2.17
Ni: 0.1466 0.2932 0.2815 [6 per cell]  1 P 2.08, 1 Ge 2.31
Ge: 0.0000 0.0000 0.5000 [1 per cell]  6 Ni 2.31
P: 0.3333 0.6667 0.1697 [2 per cell]  6 Ni 2.08-2.17

=====

(4)
Density functional theory data (PBE) for UNi2GeP after structural relaxation.

Formation energy from the elements, eV/atom: -0.2102

a = 4.0823 Å, b = 4.0823 Å, c = 5.6483 Å
α = 90.00°, β = 90.00°, γ = 90.00°
With the nearest neighbours (Å) after each atom.
Space group P4mm (No. 99)
Asymmetric unit:
U: 0.0000 0.0000 0.0000 [1 per cell]  1 P 2.64
Ni: 0.0000 0.5000 0.3861 [2 per cell]  2 P 2.20, 2 Ge 2.46
Ge: 0.5000 0.5000 0.1424 [1 per cell]  4 Ni 2.46
P: 0.0000 0.0000 0.5328 [1 per cell]  4 Ni 2.20

=====

(5)
Density functional theory data (PBE) for UNi7Ge2P2 after structural relaxation.

Formation energy from the elements, eV/atom: -0.1454

a = 4.8216 Å, b = 6.2610 Å, c = 11.6009 Å
α = 90.00°, β = 94.29°, γ = 90.00°
With the nearest neighbours (Å) after each atom.
Space group C2/m (No. 12)
Asymmetric unit:
U: 0.0000 0.0000 0.0000 [2 per cell]  2 Ni 2.41
Ni: 0.0000 0.5000 0.0000 [2 per cell]  2 U 2.41, 4 Ni 2.43
Ni: 0.1226 0.3076 0.1783 [8 per cell]  2 P 2.17-2.30, 1 Ni 2.41
Ni: 0.2406 0.0000 0.4345 [4 per cell]  1 P 2.20, 1 Ge 2.30
Ge: 0.2430 0.5000 0.3670 [4 per cell]  4 Ni 2.30-2.53
P: 0.2388 0.5000 0.7539 [4 per cell]  5 Ni 2.17-2.30

=====

(6)
Density functional theory data (PBE) for VNi7Ge2P2 after structural relaxation.

Formation energy from the elements, eV/atom: -0.2388

a = 4.8835 Å, b = 4.8827 Å, c = 14.1419 Å
α = 90.00°, β = 99.87°, γ = 90.00°
With the nearest neighbours (Å) after each atom.
Space group C2/m (No. 12)
Asymmetric unit:
V: 0.0000 0.0000 0.0000 [2 per cell]  12 Ni 2.44-2.53
Ni: 0.0000 0.5000 0.0000 [2 per cell]  4 V 2.44, 8 Ni 2.53
Ni: 0.1838 0.2500 0.8669 [8 per cell]  2 P 2.23, 4 Ni 2.44
Ni: 0.1943 0.5000 0.3894 [4 per cell]  1 P 2.16
Ge: 0.2152 0.0000 0.4318 [4 per cell]  5 Ni 2.49-2.51
P: 0.1164 0.5000 0.2341 [4 per cell]  5 Ni 2.16-2.23

=====

(7)
Density functional theory data (PBE) for ZnNi7Ge2P2 after structural relaxation.

Formation energy from the elements, eV/atom: -0.2051

a = 4.9306 Å, b = 5.0005 Å, c = 13.3281 Å
α = 90.00°, β = 95.41°, γ = 90.00°
With the nearest neighbours (Å) after each atom.
Space group C2/m (No. 12)
Asymmetric unit:
Zn: 0.0000 0.0000 0.0000 [2 per cell]  12 Ni 2.47-2.58
Ni: 0.0000 0.5000 0.0000 [2 per cell]  4 Zn 2.47-2.50, 8 Ni 2.57-2.58
Ni: 0.1090 0.5000 0.4077 [4 per cell]  1 P 2.21, 1 Ge 2.38
Ni: 0.2120 0.2502 0.8577 [8 per cell]  2 P 2.19
Ge: 0.1302 0.0000 0.4171 [4 per cell]  5 Ni 2.38-2.56, 1 Ge 2.66
P: 0.0635 0.5000 0.2414 [4 per cell]  5 Ni 2.19-2.21

=====

(8)
Density functional theory data (PBE) for PaNi2Ge2 after structural relaxation.

Formation energy from the elements, eV/atom: -0.6102

a = 4.1401 Å, b = 4.1401 Å, c = 9.3733 Å
α = 90.00°, β = 90.00°, γ = 90.00°
With the nearest neighbours (Å) after each atom.
Space group P4/nmm (No. 129, origin choice 2)
Asymmetric unit:
Pa: 0.2500 0.2500 0.2427 [2 per cell]  8 Ni 3.08-3.18, 8 Ge 3.12-3.18
Ni: 0.2500 0.2500 0.6245 [2 per cell]  5 Ge 2.31-2.38
Ni: 0.2500 0.7500 0.0000 [2 per cell]  4 Ge 2.40
Ge: 0.2500 0.2500 0.8710 [2 per cell]  5 Ni 2.31-2.40
Ge: 0.2500 0.7500 0.5000 [2 per cell]  4 Ni 2.38

=====

(9)
Density functional theory data (PBE) for Pa2Ni2Ge3 after structural relaxation.

Distance to the lowest polymorph of the same formula, eV/atom: 0.000
Formation energy from the elements, eV/atom: -0.5329

a = 4.2740 Å, b = 17.9234 Å, c = 6.5563 Å
α = 90.00°, β = 90.00°, γ = 90.00°
With the nearest neighbours (Å) after each atom.
Space group Cmcm (No. 63)
Asymmetric unit:
Pa: 0.0000 0.0475 0.2500 [4 per cell]  9 Ge 2.95-3.24
Pa: 0.0000 0.1615 0.7500 [4 per cell]  6 Ni 2.84-2.99, 6 Ge 3.00-3.07
Ni: 0.0000 0.3026 0.5524 [8 per cell]  4 Ge 2.42-2.52, 1 Ni 2.59
Ge: 0.0000 0.2154 0.2500 [4 per cell]  6 Ni 2.52
Ge: 0.0000 0.4319 0.0556 [8 per cell]  1 Ni 2.42, 2 Ge 2.55

=====

(10)
Density functional theory data (PBE) for PaNi15Ge4 after structural relaxation.

Formation energy from the elements, eV/atom: -0.2961

a = 3.6673 Å, b = 3.6673 Å, c = 17.9202 Å
α = 90.00°, β = 90.00°, γ = 90.00°
With the nearest neighbours (Å) after each atom.
Space group P4/mmm (No. 123)
Asymmetric unit:
Pa: 0.0000 0.0000 0.0000 [1 per cell]  12 Ni 2.59-2.68
Ni: 0.0000 0.5000 0.1091 [4 per cell]  8 Ni 2.55-2.68, 2 Ge 2.58, 2 Pa 2.68
Ni: 0.0000 0.5000 0.3053 [4 per cell]  4 Ge 2.50-2.54, 8 Ni 2.53-2.59
Ni: 0.0000 0.5000 0.5000 [2 per cell]  4 Ge 2.52, 8 Ni 2.53-2.59
Ni: 0.5000 0.5000 0.0000 [1 per cell]  4 Pa 2.59, 8 Ni 2.68
Ni: 0.5000 0.5000 0.2078 [2 per cell]  8 Ni 2.53-2.55, 4 Ge 2.59
Ni: 0.5000 0.5000 0.4025 [2 per cell]  8 Ni 2.53, 4 Ge 2.59
Ge: 0.0000 0.0000 0.2107 [2 per cell]  12 Ni 2.50-2.59
Ge: 0.0000 0.0000 0.4035 [2 per cell]  12 Ni 2.52-2.59

=====

(11)
Density functional theory data (PBE) for Pa5Ni3Ge3 after structural relaxation.

Formation energy from the elements, eV/atom: -0.0354

a = 8.4435 Å, b = 8.4435 Å, c = 3.9336 Å
α = 90.00°, β = 90.00°, γ = 120.00°
With the nearest neighbours (Å) after each atom.
Space group P-62m (No. 189)
Asymmetric unit:
Pa: 0.0000 0.2343 0.0000 [3 per cell]  2 Ni 2.54
Pa: 0.3333 0.6667 0.0000 [2 per cell]  3 Ni 2.79
Ni: 0.0000 0.6602 0.0000 [3 per cell]  2 Ge 2.37, 2 Pa 2.54
Ge: 0.0000 0.5046 0.5000 [3 per cell]  2 Ni 2.37

=====

(12)
Density functional theory data (PBE) for Pa3Ni4Ge2 after structural relaxation.

Formation energy from the elements, eV/atom: -0.2650

a = 3.5012 Å, b = 7.1898 Å, c = 13.1291 Å
α = 90.00°, β = 90.00°, γ = 90.00°
With the nearest neighbours (Å) after each atom.
Space group Immm (No. 71)
Asymmetric unit:
Pa: 0.0000 0.0000 0.0000 [2 per cell]  4 Ge 2.93, 8 Ni 3.12
Pa: 0.0000 0.5000 0.1596 [4 per cell]  6 Ni 2.64-2.85
Ni: 0.0000 0.3120 0.3320 [8 per cell]  1 Ge 2.42, 1 Pa 2.64, 1 Ni 2.70
Ge: 0.0000 0.1726 0.5000 [4 per cell]  2 Ni 2.42, 1 Ge 2.48